Entry 1:
The following is a DFT calculation (PBE) of a relaxed structure of La3Sm7Tm.

```
data_La3Sm7Tm
_chemical_formula_sum 'La6 Sm14 Tm2'
_symmetry_space_group_name_H-M 'I m m m'
_symmetry_Int_Tables_number 71
_symmetry_space_group_name_Hall '-I 2 2'
_cell_length_a 5.970
_cell_length_b 11.389
_cell_length_c 11.424
_cell_angle_alpha 90.00
_cell_angle_beta 90.00
_cell_angle_gamma 90.00
loop_
_atom_site_label
_atom_site_type_symbol
_atom_site_fract_x
_atom_site_fract_y
_atom_site_fract_z
_atom_site_occupancy
La1 La 0.000 0.000 0.000 1
La2 La 0.000 0.286 0.500 1
Sm1 Sm 0.000 0.000 0.500 1
Sm2 Sm 0.000 0.204 0.199 1
Sm3 Sm 0.000 0.500 0.291 1
Tm1 Tm 0.000 0.500 0.000 1
```

Results
Magnetic moment in μB per formula unit: 0.07
DFT formation energy in eV per atom: 0.2461
Uncorrected energy in eV/cell: -99.16
Offset from the most stable computed form in eV per atom: 0.131


Entry 2:
The following is a DFT calculation (PBE) of a relaxed structure of BaEuHgAs.

```
data_BaEuHgAs
_chemical_formula_sum 'Ba4 Eu4 Hg4 As4'
_symmetry_space_group_name_H-M 'F -4 3 m'
_symmetry_Int_Tables_number 216
_symmetry_space_group_name_Hall 'F -4 2 3'
_cell_length_a 7.933
_cell_length_b 7.933
_cell_length_c 7.933
_cell_angle_alpha 90.00
_cell_angle_beta 90.00
_cell_angle_gamma 90.00
loop_
_atom_site_label
_atom_site_type_symbol
_atom_site_fract_x
_atom_site_fract_y
_atom_site_fract_z
_atom_site_occupancy
Ba1 Ba 0.000 0.000 0.000 1
Eu1 Eu 0.000 0.000 0.500 1
Hg1 Hg 0.250 0.250 0.750 1
As1 As 0.250 0.250 0.250 1
```

Results
Magnetic moment in μB per formula unit: 7.46
DFT formation energy in eV per atom: -0.7307
Uncorrected energy in eV/cell: -80.29


Entry 3:
The following is a DFT calculation (PBE) of a relaxed structure of LaAl2Se.

```
data_LaAl2Se
_chemical_formula_sum 'La3 Al6 Se3'
_symmetry_space_group_name_H-M 'R -3 m'
_symmetry_Int_Tables_number 166
_symmetry_space_group_name_Hall '-R 3 2"'
_cell_length_a 3.5403
_cell_length_b 3.5403
_cell_length_c 26.7511
_cell_angle_alpha 90.00
_cell_angle_beta 90.00
_cell_angle_gamma 120.00
loop_
_atom_site_label
_atom_site_type_symbol
_atom_site_fract_x
_atom_site_fract_y
_atom_site_fract_z
_atom_site_occupancy
La1 La 0.0000 0.0000 0.0000 1
Al1 Al 0.0000 0.0000 0.2327 1
Se1 Se 0.0000 0.0000 0.5000 1
```

Results
Magnetic moment in μB per formula unit: 0.00
Energy relative to the elements, uncorrected in kJ/mol of formula units: -87
Uncorrected energy in eV/cell: -50.40
Offset from the most stable computed form in eV per atom: 0.394


Entry 4:
The following is a DFT calculation (PBE) of a relaxed structure of BaMgBi3.

```
data_BaMgBi3
_chemical_formula_sum 'Ba1 Mg1 Bi3'
_symmetry_space_group_name_H-M 'P m -3 m'
_symmetry_Int_Tables_number 221
_symmetry_space_group_name_Hall '-P 4 2 3'
_cell_length_a 6.339
_cell_length_b 6.339
_cell_length_c 6.339
_cell_angle_alpha 90.00
_cell_angle_beta 90.00
_cell_angle_gamma 90.00
loop_
_atom_site_label
_atom_site_type_symbol
_atom_site_fract_x
_atom_site_fract_y
_atom_site_fract_z
_atom_site_occupancy
Ba1 Ba 0.000 0.000 0.000 1
Mg1 Mg 0.500 0.500 0.500 1
Bi1 Bi 0.000 0.000 0.500 1
```

Results
Magnetic moment in μB per formula unit: 0.00
DFT formation energy in eV per atom: 0.8032
Uncorrected energy in eV/cell: -11.14
Offset from the most stable computed form in eV per atom: 1.216


Entry 5:
The following is a DFT calculation (PBE) of a relaxed structure of BaDyHgTe3.

```
data_BaDyHgTe3
_chemical_formula_sum 'Ba2 Dy2 Hg2 Te6'
_symmetry_space_group_name_H-M 'P 1 21/m 1'
_symmetry_Int_Tables_number 11
_cell_length_a 8.912
_cell_length_b 4.475
_cell_length_c 10.857
_cell_angle_alpha 90.00
_cell_angle_beta 105.03
_cell_angle_gamma 90.00
loop_
_symmetry_equiv_pos_as_xyz
'x,y,z'
'-x,-y,-z'
'-x,y+1/2,-z'
'x,-y+1/2,z'
loop_
_atom_site_label
_atom_site_type_symbol
_atom_site_fract_x
_atom_site_fract_y
_atom_site_fract_z
_atom_site_occupancy
Ba1 Ba 0.228 0.250 0.283 1
Dy1 Dy 0.332 0.750 0.833 1
Hg1 Hg 0.105 0.250 0.566 1
Te1 Te 0.090 0.250 0.837 1
Te2 Te 0.348 0.750 0.552 1
Te3 Te 0.419 0.750 0.129 1
```

Results
Magnetic moment in μB per formula unit: 0.00
Energy relative to the elements, uncorrected in kJ/mol of formula units: -676
Uncorrected energy in eV/cell: -46.51


Entry 6:
The following is a DFT calculation (PBE) of a relaxed structure of Ba3Bi4Pt2.

```
data_Ba3Bi4Pt2
_chemical_formula_sum 'Ba6 Bi8 Pt4'
_symmetry_space_group_name_H-M 'C 1 2/m 1'
_symmetry_Int_Tables_number 12
_cell_length_a 12.946
_cell_length_b 4.958
_cell_length_c 9.882
_cell_angle_alpha 90.00
_cell_angle_beta 97.85
_cell_angle_gamma 90.00
loop_
_symmetry_equiv_pos_as_xyz
'x,y,z'
'-x,-y,-z'
'-x,y,-z'
'x,-y,z'
'x+1/2,y+1/2,z'
'-x+1/2,-y+1/2,-z'
'-x+1/2,y+1/2,-z'
'x+1/2,-y+1/2,z'
loop_
_atom_site_label
_atom_site_type_symbol
_atom_site_fract_x
_atom_site_fract_y
_atom_site_fract_z
_atom_site_occupancy
Ba1 Ba 0.000 0.000 0.000 1
Ba2 Ba 0.167 0.500 0.655 1
Bi1 Bi 0.048 0.000 0.360 1
Bi2 Bi 0.201 0.500 0.067 1
Pt1 Pt 0.123 0.500 0.311 1
```

Results
Magnetic moment in μB per formula unit: 0.00
DFT formation energy in eV per atom: -0.7058
Uncorrected energy in eV/cell: -79.45
Offset from the most stable computed form in eV per atom: 0.000


Entry 7:
The following is a DFT calculation (PBE) of a relaxed structure of Re3SbAu.

```
data_Re3SbAu
_chemical_formula_sum 'Re3 Sb1 Au1'
_symmetry_space_group_name_H-M 'P m -3 m'
_symmetry_Int_Tables_number 221
_symmetry_space_group_name_Hall '-P 4 2 3'
_cell_length_a 4.808
_cell_length_b 4.808
_cell_length_c 4.808
_cell_angle_alpha 90.00
_cell_angle_beta 90.00
_cell_angle_gamma 90.00
loop_
_atom_site_label
_atom_site_type_symbol
_atom_site_fract_x
_atom_site_fract_y
_atom_site_fract_z
_atom_site_occupancy
Re1 Re 0.000 0.000 0.500 1
Sb1 Sb 0.000 0.000 0.000 1
Au1 Au 0.500 0.500 0.500 1
```

Results
Magnetic moment in μB per formula unit: 0.00
Energy relative to the elements, uncorrected in kJ/mol of formula units: 1286
Uncorrected energy in eV/cell: -31.41
Offset from the most stable computed form in eV per atom: 0.000


Entry 8:
The following is a DFT calculation (PBE) of a relaxed structure of Tl2CrFe.

```
data_Tl2CrFe
_chemical_formula_sum 'Tl4 Cr2 Fe2'
_symmetry_space_group_name_H-M 'I 4/m m m'
_symmetry_Int_Tables_number 139
_symmetry_space_group_name_Hall '-I 4 2'
_cell_length_a 4.330
_cell_length_b 4.330
_cell_length_c 8.036
_cell_angle_alpha 90.00
_cell_angle_beta 90.00
_cell_angle_gamma 90.00
loop_
_atom_site_label
_atom_site_type_symbol
_atom_site_fract_x
_atom_site_fract_y
_atom_site_fract_z
_atom_site_occupancy
Tl1 Tl 0.000 0.500 0.250 1
Cr1 Cr 0.000 0.000 0.000 1
Fe1 Fe 0.000 0.000 0.500 1
```

Results
Magnetic moment in μB per formula unit: 5.84
DFT formation energy in eV per atom: 0.6966
Uncorrected energy in eV/cell: -40.06
Offset from the most stable computed form in eV per atom: 0.209